The following is a PBE-GGA calculation of a geometry-optimized BaLi2NiAg structure, from Alexandria via LeMat-Bulk.

- Formation energy from the elements: 11.78 kJ/mol of atoms
- E: -2.754 eV per atom
- Energy above the lowest structure with this stoichiometry: 41 meV/atom

Cell: 4.833 4.833 5.170 Å, 90.00 90.00 90.00°
Space group P4/mmm (No. 123)
Unique sites:
Ba: 0.000 0.000 0.000
Li: 0.000 0.500 0.500
Ni: 0.500 0.500 0.000
Ag: 0.500 0.500 0.500